Below is Y2Al3Zn6 after structural relaxation, with properties calculated at the GGA-PBE level.

```
data_Y2Al3Zn6
_space_group_name_H-M_alt 'C m m m'
_space_group_IT_number 65
_space_group_name_Hall '-C 2 2'
_cell_length_a 10.2200
_cell_length_b 10.3562
_cell_length_c 4.0239
_cell_angle_alpha 90.00
_cell_angle_beta 90.00
_cell_angle_gamma 90.00
loop_
_atom_site_label
_atom_site_type_symbol
_atom_site_fract_x
_atom_site_fract_y
_atom_site_fract_z
Y1 Y 0.0000 0.2193 0.0000
Al1 Al 0.0000 0.5000 0.5000
Al2 Al 0.2033 0.5000 0.0000
Zn1 Zn 0.1157 0.0000 0.5000
Zn2 Zn 0.1901 0.3455 0.5000
```

Summary:
The value obtained for the formation energy is -0.163 eV per atom.



Below is YAl2Zn2 after structural relaxation, with properties calculated at the GGA-PBE level.

```
data_YAl2Zn2
_space_group_name_H-M_alt 'P 4/m b m'
_space_group_IT_number 127
_space_group_name_Hall '-P 4 2ab'
_cell_length_a 7.8585
_cell_length_b 7.8585
_cell_length_c 2.9657
_cell_angle_alpha 90.00
_cell_angle_beta 90.00
_cell_angle_gamma 90.00
loop_
_atom_site_label
_atom_site_type_symbol
_atom_site_fract_x
_atom_site_fract_y
_atom_site_fract_z
Y1 Y 0.0000 0.0000 0.0000
Al1 Al 0.1271 0.3729 0.0000
Zn1 Zn 0.1681 0.6681 0.5000
```

Summary:
The value obtained for the formation energy is -0.133 eV per atom.



Below is YAlZn2 after structural relaxation, with properties calculated at the GGA-PBE level.

```
data_YAlZn2
_space_group_name_H-M_alt 'C 1 2/m 1'
_space_group_IT_number 12
_space_group_name_Hall '-C 2y'
_cell_length_a 5.9820
_cell_length_b 9.6962
_cell_length_c 2.9408
_cell_angle_alpha 90.00
_cell_angle_beta 111.78
_cell_angle_gamma 90.00
loop_
_atom_site_label
_atom_site_type_symbol
_atom_site_fract_x
_atom_site_fract_y
_atom_site_fract_z
Y1 Y 0.0000 0.0000 0.0000
Al1 Al 0.0000 0.5000 0.0000
Zn1 Zn 0.2500 0.2500 0.5000
```

Summary:
The value obtained for the formation energy is -0.019 eV per atom.



Below is Y3Al5Zn6 after structural relaxation, with properties calculated at the GGA-PBE level.

```
data_Y3Al5Zn6
_space_group_name_H-M_alt 'P m m n'
_space_group_IT_number 59
_cell_length_a 4.2557
_cell_length_b 12.4690
_cell_length_c 9.7579
_cell_angle_alpha 90.00
_cell_angle_beta 90.00
_cell_angle_gamma 90.00
loop_
_space_group_symop_operation_xyz
'x,y,z'
'-x,-y,-z'
'-x+1/2,-y+1/2,z'
'x+1/2,y+1/2,-z'
'x+1/2,-y,-z'
'-x+1/2,y,z'
'-x,y+1/2,-z'
'x,-y+1/2,z'
loop_
_atom_site_label
_atom_site_type_symbol
_atom_site_fract_x
_atom_site_fract_y
_atom_site_fract_z
Y1 Y 0.2500 0.0580 0.2493
Y2 Y 0.2500 0.7500 0.2478
Al1 Al 0.2500 0.0899 0.8858
Al2 Al 0.2500 0.6046 0.5213
Al3 Al 0.2500 0.7500 0.7457
Zn1 Zn 0.2500 0.0936 0.6262
Zn2 Zn 0.2500 0.2500 0.0509
Zn3 Zn 0.2500 0.2500 0.4557
Zn4 Zn 0.2500 0.6136 0.9699
```

Summary:
The value obtained for the formation energy is -0.397 eV per atom.



Below is Y2Al3Zn5 after structural relaxation, with properties calculated at the GGA-PBE level.

```
data_Y2Al3Zn5
_space_group_name_H-M_alt 'I b a m'
_space_group_IT_number 72
_space_group_name_Hall '-I 2 2c'
_cell_length_a 10.6977
_cell_length_b 11.7887
_cell_length_c 5.8981
_cell_angle_alpha 90.00
_cell_angle_beta 90.00
_cell_angle_gamma 90.00
loop_
_atom_site_label
_atom_site_type_symbol
_atom_site_fract_x
_atom_site_fract_y
_atom_site_fract_z
Y1 Y 0.2465 0.1246 0.0000
Al1 Al 0.0000 0.5000 0.2500
Al2 Al 0.1329 0.1284 0.5000
Zn1 Zn 0.0000 0.0000 0.2500
Zn2 Zn 0.0000 0.2579 0.2500
Zn3 Zn 0.1407 0.3758 0.0000
```

Summary:
The value obtained for the formation energy is -0.361 eV per atom.



Below is YAlZn2 after structural relaxation, with properties calculated at the GGA-PBE level.

```
data_YAlZn2
_space_group_name_H-M_alt 'P m m 2'
_space_group_IT_number 25
_space_group_name_Hall 'P 2 -2'
_cell_length_a 3.3853
_cell_length_b 4.4718
_cell_length_c 5.3982
_cell_angle_alpha 90.00
_cell_angle_beta 90.00
_cell_angle_gamma 90.00
loop_
_atom_site_label
_atom_site_type_symbol
_atom_site_fract_x
_atom_site_fract_y
_atom_site_fract_z
Y1 Y 0.0000 0.0000 0.0000
Al1 Al 0.5000 0.5000 0.2549
Zn1 Zn 0.5000 0.0000 0.5036
Zn2 Zn 0.5000 0.5000 0.7521
```

Summary:
The value obtained for the formation energy is -0.226 eV per atom.



Below is YAlZn2 after structural relaxation, with properties calculated at the GGA-PBE level.

```
data_YAlZn2
_space_group_name_H-M_alt 'P 4/m m m'
_space_group_IT_number 123
_space_group_name_Hall '-P 4 2'
_cell_length_a 3.3415
_cell_length_b 3.3415
_cell_length_c 6.8581
_cell_angle_alpha 90.00
_cell_angle_beta 90.00
_cell_angle_gamma 90.00
loop_
_atom_site_label
_atom_site_type_symbol
_atom_site_fract_x
_atom_site_fract_y
_atom_site_fract_z
Y1 Y 0.0000 0.0000 0.0000
Al1 Al 0.0000 0.0000 0.5000
Zn1 Zn 0.5000 0.5000 0.2929
```

Summary:
The value obtained for the formation energy is -0.200 eV per atom.



Below is YAl2Zn after structural relaxation, with properties calculated at the GGA-PBE level.

```
data_YAl2Zn
_space_group_name_H-M_alt 'I -4 2 d'
_space_group_IT_number 122
_space_group_name_Hall 'I -4 2bw'
_cell_length_a 4.5394
_cell_length_b 4.5394
_cell_length_c 17.9914
_cell_angle_alpha 90.00
_cell_angle_beta 90.00
_cell_angle_gamma 90.00
loop_
_atom_site_label
_atom_site_type_symbol
_atom_site_fract_x
_atom_site_fract_y
_atom_site_fract_z
Y1 Y 0.0000 0.0000 0.0000
Al1 Al 0.1298 0.2500 0.6250
Zn1 Zn 0.0000 0.0000 0.5000
```

Summary:
The value obtained for the formation energy is 0.034 eV per atom.



Below is Y2AlZn after structural relaxation, with properties calculated at the GGA-PBE level.

```
data_Y2AlZn
_space_group_name_H-M_alt 'P 4/m m m'
_space_group_IT_number 123
_space_group_name_Hall '-P 4 2'
_cell_length_a 5.1061
_cell_length_b 5.1061
_cell_length_c 3.5773
_cell_angle_alpha 90.00
_cell_angle_beta 90.00
_cell_angle_gamma 90.00
loop_
_atom_site_label
_atom_site_type_symbol
_atom_site_fract_x
_atom_site_fract_y
_atom_site_fract_z
Y1 Y 0.0000 0.5000 0.0000
Al1 Al 0.0000 0.0000 0.5000
Zn1 Zn 0.5000 0.5000 0.5000
```

Summary:
The value obtained for the formation energy is -0.399 eV per atom.



Below is Y2AlZn2 after structural relaxation, with properties calculated at the GGA-PBE level.

```
data_Y2AlZn2
_space_group_name_H-M_alt 'I 4/m m m'
_space_group_IT_number 139
_space_group_name_Hall '-I 4 2'
_cell_length_a 5.6983
_cell_length_b 5.6983
_cell_length_c 7.3404
_cell_angle_alpha 90.00
_cell_angle_beta 90.00
_cell_angle_gamma 90.00
loop_
_atom_site_label
_atom_site_type_symbol
_atom_site_fract_x
_atom_site_fract_y
_atom_site_fract_z
Y1 Y 0.0000 0.5000 0.2500
Al1 Al 0.0000 0.0000 0.0000
Zn1 Zn 0.0000 0.0000 0.3429
```

Summary:
The value obtained for the formation energy is -0.048 eV per atom.



Below is Y2AlZn after structural relaxation, with properties calculated at the GGA-PBE level.

```
data_Y2AlZn
_space_group_name_H-M_alt 'I m m 2'
_space_group_IT_number 44
_space_group_name_Hall 'I 2 -2'
_cell_length_a 3.5615
_cell_length_b 4.9430
_cell_length_c 10.6191
_cell_angle_alpha 90.00
_cell_angle_beta 90.00
_cell_angle_gamma 90.00
loop_
_atom_site_label
_atom_site_type_symbol
_atom_site_fract_x
_atom_site_fract_y
_atom_site_fract_z
Y1 Y 0.0000 0.0000 0.0000
Y2 Y 0.0000 0.5000 0.2256
Al1 Al 0.0000 0.0000 0.4450
Zn1 Zn 0.0000 0.5000 0.7613
```

Summary:
The value obtained for the formation energy is -0.329 eV per atom.



Below is Y2AlZn7 after structural relaxation, with properties calculated at the GGA-PBE level.

```
data_Y2AlZn7
_space_group_name_H-M_alt 'P -4 m 2'
_space_group_IT_number 115
_space_group_name_Hall 'P -4 -2'
_cell_length_a 4.1232
_cell_length_b 4.1232
_cell_length_c 10.7805
_cell_angle_alpha 90.00
_cell_angle_beta 90.00
_cell_angle_gamma 90.00
loop_
_atom_site_label
_atom_site_type_symbol
_atom_site_fract_x
_atom_site_fract_y
_atom_site_fract_z
Y1 Y 0.0000 0.5000 0.2501
Al1 Al 0.0000 0.0000 0.5000
Zn1 Zn 0.0000 0.0000 0.0000
Zn2 Zn 0.0000 0.5000 0.6390
Zn3 Zn 0.0000 0.5000 0.8635
Zn4 Zn 0.5000 0.5000 0.0000
Zn5 Zn 0.5000 0.5000 0.5000
```

Summary:
The value obtained for the formation energy is -0.332 eV per atom.



> Which formula does entry 12 have?

Y2AlZn7



Copy entry 4 word for word.
Below is Y3Al5Zn6 after structural relaxation, with properties calculated at the GGA-PBE level.

```
data_Y3Al5Zn6
_space_group_name_H-M_alt 'P m m n'
_space_group_IT_number 59
_cell_length_a 4.2557
_cell_length_b 12.4690
_cell_length_c 9.7579
_cell_angle_alpha 90.00
_cell_angle_beta 90.00
_cell_angle_gamma 90.00
loop_
_space_group_symop_operation_xyz
'x,y,z'
'-x,-y,-z'
'-x+1/2,-y+1/2,z'
'x+1/2,y+1/2,-z'
'x+1/2,-y,-z'
'-x+1/2,y,z'
'-x,y+1/2,-z'
'x,-y+1/2,z'
loop_
_atom_site_label
_atom_site_type_symbol
_atom_site_fract_x
_atom_site_fract_y
_atom_site_fract_z
Y1 Y 0.2500 0.0580 0.2493
Y2 Y 0.2500 0.7500 0.2478
Al1 Al 0.2500 0.0899 0.8858
Al2 Al 0.2500 0.6046 0.5213
Al3 Al 0.2500 0.7500 0.7457
Zn1 Zn 0.2500 0.0936 0.6262
Zn2 Zn 0.2500 0.2500 0.0509
Zn3 Zn 0.2500 0.2500 0.4557
Zn4 Zn 0.2500 0.6136 0.9699
```

Summary:
The value obtained for the formation energy is -0.397 eV per atom.



Please write out number 3 again, unchanged.
Below is YAlZn2 after structural relaxation, with properties calculated at the GGA-PBE level.

```
data_YAlZn2
_space_group_name_H-M_alt 'C 1 2/m 1'
_space_group_IT_number 12
_space_group_name_Hall '-C 2y'
_cell_length_a 5.9820
_cell_length_b 9.6962
_cell_length_c 2.9408
_cell_angle_alpha 90.00
_cell_angle_beta 111.78
_cell_angle_gamma 90.00
loop_
_atom_site_label
_atom_site_type_symbol
_atom_site_fract_x
_atom_site_fract_y
_atom_site_fract_z
Y1 Y 0.0000 0.0000 0.0000
Al1 Al 0.0000 0.5000 0.0000
Zn1 Zn 0.2500 0.2500 0.5000
```

Summary:
The value obtained for the formation energy is -0.019 eV per atom.